The following is a DFT calculation (PBE) of an optimized crystal structure of TbSbPd6.

- magnetic moment (μB/f.u.) = 0.0
- formation energy from raw total energies (eV/atom) = -0.612
- E above lowest polymorph (kJ/mol of atoms) = 0.0

Cell: 5.7641 5.7641 4.1197 Å, 90.00 90.00 90.07°
Last column: nearest neighbours and their distance in Å.
Element x y z (fractional)
Tb1 0.0000 0.0000 0.0000  12 Pd 2.88-2.91
Sb1 0.5000 0.5000 0.0000  12 Pd 2.88-2.89
Pd1 0.0000 0.5000 0.0000  2 Sb 2.88, 2 Tb 2.88, 8 Pd 2.90
Pd2 0.2518 0.7482 0.5000  8 Pd 2.86-2.91, 2 Sb 2.89, 2 Tb 2.91
Pd3 0.2528 0.2528 0.5000  8 Pd 2.86-2.91, 2 Sb 2.88, 2 Tb 2.91
Pd4 0.5000 0.0000 0.0000  2 Sb 2.88, 2 Tb 2.88, 8 Pd 2.90
Pd5 0.7472 0.7472 0.5000  8 Pd 2.86-2.91, 2 Sb 2.88, 2 Tb 2.91
Pd6 0.7482 0.2518 0.5000  8 Pd 2.86-2.91, 2 Sb 2.89, 2 Tb 2.91